TbFeRh2 | GGA-PBE | relaxed

The structure in POSCAR format:
```
TbFeRh2
1.0
-3.1624 -0.2594 1.5014
0.7685 -4.2098 0.8912
1.7347 1.1315 3.8494
Rh Tb Fe
2 1 1
Cartesian
0.8674 0.5658 1.9247
0.3842 -2.1049 0.4456
-1.5812 -0.1297 0.7507
-0.3296 -1.6689 3.1210
```

Computed properties:
Electronic total energy ... -7.29 eV per atom
Energy of formation ... -342 meV/atom
M_tot ... 4.29 μB/cell
Density of states at the Fermi level ... 3.75 states/eV/f.u.
Symmetry ... P4/mmm

***

NaLiTe2 | GGA-PBE | relaxed

The structure in POSCAR format:
```
NaLiTe2
1.0
-8.1051 5.4968 -2.3692
-7.6000 6.5065 1.1946
-5.6614 8.1952 -1.5194
Na Te Li
1 2 1
Cartesian
-10.6833 10.0992 -1.3470
-19.4964 18.4305 -2.4582
-1.8702 1.7680 -0.2358
0.0000 0.0000 0.0000
```

Computed properties:
Electronic total energy ... -2.77 eV per atom
M_tot ... 0.00 μB/cell
Density of states at the Fermi level ... 2.70 states/eV/f.u.
Symmetry ... R-3m
Energy relative to the lowest polymorph listed for this composition ... 253 meV/atom
Formation energy (no corrections) ... -0.39 eV per atom

***

ZnCrSe2N | GGA-PBE | relaxed

The structure in POSCAR format:
```
ZnCrSe2N
1.0
-2.7802 -2.4538 -3.4886
2.8319 -4.1759 0.6804
-2.3259 -1.1442 2.6584
Cr Zn Se N
1 1 2 1
Cartesian
-1.1371 -3.8869 -0.0749
0.0000 0.0000 0.0000
1.4159 -2.0880 0.3402
-1.3901 -1.2269 -1.7443
-1.1630 -0.5721 1.3292
```

Computed properties:
Electronic total energy ... -4.39 eV per atom
M_tot ... 1.39 μB/cell
Density of states at the Fermi level ... 1.84 states/eV/f.u.
Symmetry ... P4/mmm
Energy relative to the lowest polymorph listed for this composition ... 702 meV/atom
Formation energy (no corrections) ... 0.84 eV per atom

***

LiTiNbAs2 | GGA-PBE | relaxed

The structure in POSCAR format:
```
LiTiNbAs2
1.0
-2.3338 -2.3568 -2.9339
2.9196 -3.1778 0.2303
-2.2830 -1.8577 3.3084
Nb Li As Ti
1 1 2 1
Cartesian
1.4598 -1.5889 0.1152
0.0000 0.0000 0.0000
-1.1415 -0.9288 1.6542
-1.1669 -1.1784 -1.4669
-0.8486 -3.6962 0.3025
```

Computed properties:
Electronic total energy ... -5.27 eV per atom
Energy of formation ... 566 meV/atom
M_tot ... 0.00 μB/cell
Density of states at the Fermi level ... 5.54 states/eV/f.u.
Symmetry ... P4/mmm

***

SmPuGe2O8 | GGA-PBE | relaxed

The structure in POSCAR format:
```
SmPuGe2O8
1.0
-1.4581 2.2778 5.3483
4.3449 -4.1253 0.1496
2.0147 4.5442 -3.3481
Sm Pu Ge O
1 1 2 8
Cartesian
3.9015 -0.2524 -0.2248
0.0000 0.0000 0.0000
1.0000 2.9491 2.3746
1.4434 -0.9237 2.7489
0.3806 1.9808 1.0162
2.0279 -0.4985 1.1359
1.7777 3.8965 -1.0731
0.5922 4.5748 1.7767
2.0904 -0.0596 4.1486
0.3045 2.5408 3.9607
2.7226 2.7001 2.7446
3.9069 2.0550 0.0882
```

Computed properties:
Electronic total energy ... -7.97 eV per atom
M_tot ... 3.00 μB/cell
Density of states at the Fermi level ... 6.24 states/eV/f.u.
Symmetry ... I-4m2
Formation energy (no corrections) ... -2.31 eV per atom

***

PrDy7Y3 | GGA-PBE | relaxed

The structure in POSCAR format:
```
PrDy7Y3
1.0
8.6519 0.0000 0.0000
0.0000 7.0740 0.0000
0.0000 -3.5370 6.1263
Pr Dy Y
1 7 3
Cartesian
3.8368 0.0000 4.0842
1.0111 -1.7562 5.0982
1.0111 0.0000 2.0563
1.0491 3.5370 2.0421
3.8789 5.2909 1.0295
3.8789 1.7832 1.0295
3.8789 3.5370 4.0672
1.0111 1.7562 5.0982
6.7911 1.7755 3.0591
6.7911 3.5370 0.0080
6.7911 5.2986 3.0591
```

Computed properties:
Electronic total energy ... -4.93 eV per atom
Energy of formation ... 196 meV/atom
M_tot ... 0.00 μB/cell
Density of states at the Fermi level ... 18.12 states/eV/f.u.
Symmetry ... P3m1
Energy relative to the lowest polymorph listed for this composition ... 47 meV/atom